First-principles (GGA-PBE) data for a relaxed Cr2ReRu crystal, as listed in Alexandria.

```
Cr2ReRu
1.0
-1.490 2.161 4.154
1.490 -2.161 4.154
1.490 2.161 -4.154
Cr Re Ru
2 1 1
Direct
0.239 0.239 0.000
0.761 0.761 0.000
0.000 0.500 0.500
0.500 0.000 0.500
```

Computed properties:
**Crystal system**: orthorhombic
**Energy of formation from the pure elements**: 199 meV/atom
**ρ**: 12.15 g/cm3
**D(E_F)**: 4.55 states/eV/f.u.
**Magnetization**: 0.00 Bohr magnetons per cell
**Final energy**: -40.17 eV for the cell shown

***

First-principles (GGA-PBE) data for a relaxed MgGaSb2 crystal, as listed in Alexandria.

```
MgGaSb2
1.0
-3.265 3.265 6.055
3.265 -3.265 6.055
3.265 3.265 -6.055
Mg Ga Sb
2 2 4
Direct
0.000 0.000 0.000
0.750 0.250 0.500
0.250 0.750 0.500
0.500 0.500 0.000
0.146 0.625 0.021
0.375 0.396 0.521
0.604 0.125 0.979
0.875 0.854 0.479
```

Computed properties:
**Crystal system**: tetragonal
**ρ**: 4.34 g/cm3
**D(E_F)**: 3.16 states/eV/f.u.
**Formation energy (no corrections)**: -0.07 eV/atom
**Magnetization**: 0.00 Bohr magnetons per cell
**Final energy**: -26.28 eV for the cell shown

***

First-principles (GGA-PBE) data for a relaxed Cs2PtI4Br2 crystal, as listed in Alexandria.

```
Cs2PtI4Br2
1.0
-4.053 4.053 5.854
4.053 -4.053 5.854
4.053 4.053 -5.854
Cs Pt I Br
2 1 4 2
Direct
0.250 0.750 0.500
0.750 0.250 0.500
0.000 0.000 0.000
0.236 0.236 0.473
0.236 0.764 0.000
0.764 0.236 0.000
0.764 0.764 0.527
0.215 0.215 0.000
0.785 0.785 0.000
```

Computed properties:
**Crystal system**: tetragonal
**ρ**: 4.87 g/cm3
**Formation energy (no corrections)**: -0.88 eV/atom
**Magnetization**: 0.00 Bohr magnetons per cell
**Final energy**: -25.25 eV for the cell shown

***

First-principles (GGA-PBE) data for a relaxed RbVReH2 crystal, as listed in Alexandria.

```
RbVReH2
1.0
3.605 0.000 0.000
0.000 3.605 0.000
0.000 0.000 6.831
Rb V Re H
1 1 1 2
Direct
0.000 0.000 0.000
0.000 0.000 0.500
0.500 0.500 0.500
0.000 0.500 0.000
0.500 0.000 0.000
```

Computed properties:
**Crystal system**: tetragonal
**ρ**: 6.07 g/cm3
**D(E_F)**: 5.60 states/eV/f.u.
**Magnetization**: 0.01 Bohr magnetons per cell
**Final energy**: -18.85 eV for the cell shown